Entry from Alexandria via LeMat-Bulk: ZrInAg2 at its PBEsol-relaxed geometry (meta-GGA SCAN).

Cell: 2.857 5.469 5.798 Å, 116.87 102.04 94.59°
Sites, in units of the cell vectors:
Ag 0.500 0.500 0.500
Ag 0.000 0.000 0.500
In 0.500 0.000 0.000
Zr 0.000 0.500 0.000

The formation energy comes out at 0.002 eV per atom. As for the space-group type: No. 12. Its density is 9044 kg/m3.

***

Entry from Alexandria via LeMat-Bulk: MnOsRu2 at its PBEsol-relaxed geometry (meta-GGA SCAN).

Cell: 2.791 4.398 4.389 Å, 90.00 90.00 90.00°
Each line ends with the local moment (μB).
Sites, in units of the cell vectors:
Ru 0.000 0.000 0.000  -0.41
Ru 0.500 0.500 0.000  -0.70
Os 0.000 0.500 0.500  -0.20
Mn 0.500 0.000 0.500  3.52

The formation energy comes out at 0.233 eV per atom. As for the space-group type: No. 47. Its relative energy among the computed polymorphs is 228 meV per atom. Its density is 13789 kg/m3.

***

Entry from Alexandria via LeMat-Bulk: Ta3SnB at its PBEsol-relaxed geometry (meta-GGA SCAN).

Cell: 4.937 4.937 4.937 Å, 90.00 90.00 90.00°
Sites, in units of the cell vectors:
Ta 0.000 0.500 0.000
Ta 0.000 0.000 0.500
Ta 0.500 0.000 0.000
Sn 0.000 0.000 0.000
B 0.500 0.500 0.500

The formation energy comes out at 3.053 eV per atom. As for the space-group type: No. 221. Its density is 9276 kg/m3.

***

Entry from Alexandria via LeMat-Bulk: RbBeP2Ru at its PBEsol-relaxed geometry (meta-GGA SCAN).

Cell: 4.358 4.457 4.457 Å, 90.00 90.00 90.00°
Each line ends with the local moment (μB).
Sites, in units of the cell vectors:
P 0.000 0.500 0.000  -0.03
P 0.000 0.000 0.500  -0.03
Ru 0.500 0.000 0.000  0.94
Be 0.000 0.000 0.000  0.00
Rb 0.500 0.500 0.500  0.00

The formation energy comes out at 0.839 eV per atom. As for the space-group type: No. 123. Its density is 4938 kg/m3.

***

Entry from Alexandria via LeMat-Bulk: Ta2TeSe at its PBEsol-relaxed geometry (meta-GGA SCAN).

Cell: 4.770 4.770 4.770 Å, 60.00 60.00 60.00°
Sites, in units of the cell vectors:
Te 0.750 0.750 0.750
Se 0.500 0.500 0.500
Ta 0.250 0.250 0.250
Ta 0.000 0.000 0.000

As for the uncorrected formation energy: 0.575 eV per atom. As for the space-group type: No. 216. Its density is 12304 kg/m3.

***

Entry from Alexandria via LeMat-Bulk: NdGeBO5 at its PBEsol-relaxed geometry (meta-GGA SCAN).

Cell: 4.953 7.594 10.040 Å, 90.00 91.81 90.00°
Sites, in units of the cell vectors:
Nd 0.006 0.892 0.680
Nd 0.006 0.608 0.180
Nd 0.994 0.392 0.820
Nd 0.994 0.108 0.320
O 0.777 0.914 0.473
O 0.670 0.920 0.850
O 0.777 0.586 0.973
O 0.223 0.086 0.527
O 0.735 0.605 0.691
O 0.336 0.785 0.064
O 0.670 0.580 0.350
O 0.706 0.340 0.204
O 0.664 0.285 0.436
O 0.265 0.105 0.809
O 0.330 0.420 0.650
O 0.223 0.414 0.027
O 0.735 0.895 0.191
O 0.336 0.715 0.564
O 0.706 0.160 0.704
O 0.664 0.215 0.936
O 0.265 0.395 0.309
O 0.330 0.080 0.150
O 0.294 0.840 0.296
O 0.294 0.660 0.796
B 0.547 0.403 0.330
B 0.453 0.597 0.670
B 0.547 0.097 0.830
B 0.453 0.903 0.170
Ge 0.472 0.233 0.576
Ge 0.528 0.733 0.924
Ge 0.528 0.767 0.424
Ge 0.472 0.267 0.076

As for the uncorrected formation energy: -2.779 eV per atom. As for the space-group type: No. 14. Its density is 5415 kg/m3.